A relaxed SmSnPt crystal. Source: Alexandria via LeMat-Bulk, functional GGA-PBE.

Cell lengths 6.4845, 6.4845, 12.2134 Å; angles 90.00, 90.00, 120.00 degrees
Space group P6_222 (No. 180)
Symmetry-distinct sites (fractional):
Sm: 0.0000 0.0000 0.0000 [3 per cell]
Sm: 0.0000 0.5000 0.1667 [3 per cell]
Sn: 0.0000 0.5000 0.4620 [6 per cell]
Pt: 0.2371 0.6186 0.6667 [6 per cell]

Values from the calculation:
The value obtained for the formation enthalpy at 0 K is -0.724 eV/atom. As for the total magnetic moment: 0.0 Bohr magnetons per cell.